1.
Ho2ErPb: relaxed, PBE.

Cell and atoms, written as CIF:
```
data_Ho2ErPb
_cell_length_a 4.824
_cell_length_b 4.824
_cell_length_c 4.831
_cell_angle_alpha 90.00
_cell_angle_beta 90.00
_cell_angle_gamma 90.00
_space_group_name_H-M_alt 'P 4/m m m'
_space_group_IT_number 123
_space_group_name_Hall '-P 4 2'
loop_
_atom_site_label
_atom_site_type_symbol
_atom_site_fract_x
_atom_site_fract_y
_atom_site_fract_z
Ho1 Ho 0.000 0.500 0.000
Er1 Er 0.000 0.000 0.500
Pb1 Pb 0.500 0.500 0.500
```

Output
The value obtained for the excess energy over the best structure of this formula in the dataset is 0.0 meV per atom. The formation energy is -1.05 eV per formula unit.

=====

2.
LiTl2HgBi: relaxed, PBE.

Cell and atoms, written as CIF:
```
data_LiTl2HgBi
_cell_length_a 5.359
_cell_length_b 5.359
_cell_length_c 5.145
_cell_angle_alpha 90.00
_cell_angle_beta 90.00
_cell_angle_gamma 90.00
_space_group_name_H-M_alt 'P 4/m m m'
_space_group_IT_number 123
_space_group_name_Hall '-P 4 2'
loop_
_atom_site_label
_atom_site_type_symbol
_atom_site_fract_x
_atom_site_fract_y
_atom_site_fract_z
Li1 Li 0.000 0.000 0.000
Tl1 Tl 0.000 0.500 0.000
Hg1 Hg 0.500 0.500 0.500
Bi1 Bi 0.000 0.000 0.500
```

Output
The formation energy is 0.24 eV per formula unit.

=====

3.
PrSmTl2Se4: relaxed, PBE.

Cell and atoms, written as CIF:
```
data_PrSmTl2Se4
_cell_length_a 7.477
_cell_length_b 4.317
_cell_length_c 8.143
_cell_angle_alpha 90.00
_cell_angle_beta 107.80
_cell_angle_gamma 90.00
_space_group_name_H-M_alt 'P 1 2/m 1'
_space_group_IT_number 10
loop_
_space_group_symop_operation_xyz
'x,y,z'
'-x,-y,-z'
'-x,y,-z'
'x,-y,z'
loop_
_atom_site_label
_atom_site_type_symbol
_atom_site_fract_x
_atom_site_fract_y
_atom_site_fract_z
Pr1 Pr 0.000 0.000 0.000
Sm1 Sm 0.500 0.500 0.000
Tl1 Tl 0.000 0.500 0.500
Tl2 Tl 0.500 0.000 0.500
Se1 Se 0.241 0.500 0.211
Se2 Se 0.268 0.000 0.791
```

Output
The value obtained for the formation energy (no corrections) is -1.379 eV per atom.

=====

4.
Cs3BaNp2O9: relaxed, PBE.

Cell and atoms, written as CIF:
```
data_Cs3BaNp2O9
_cell_length_a 6.4477
_cell_length_b 6.4477
_cell_length_c 7.9822
_cell_angle_alpha 90.00
_cell_angle_beta 90.00
_cell_angle_gamma 120.00
_space_group_name_H-M_alt 'P -3 m 1'
_space_group_IT_number 164
_space_group_name_Hall '-P 3 2"'
loop_
_atom_site_label
_atom_site_type_symbol
_atom_site_fract_x
_atom_site_fract_y
_atom_site_fract_z
Cs1 Cs 0.0000 0.0000 0.0000
Cs2 Cs 0.3333 0.6667 0.6617
Ba1 Ba 0.0000 0.0000 0.5000
Np1 Np 0.3333 0.6667 0.1477
O1 O 0.0000 0.5000 0.0000
O2 O 0.1898 0.3796 0.2932
```

Output
The value obtained for the formation energy (no corrections) is -2.483 eV per atom.